UNbS4: relaxed, PBE.

Cell and atoms, written as extended XYZ:
```
6
Lattice="7.244 -1.838 0.000 7.244 1.838 0.000 -2.651 0.000 5.782" Properties=species:S:1:pos:R:3 pbc="T T T"
U 0.000 0.000 0.000
Nb 5.919 0.000 2.891
S -0.414 0.000 4.392
S 3.718 0.000 4.082
S 8.119 0.000 1.700
S 12.251 0.000 1.391
```

The uncorrected formation energy is -1.14 eV per atom. The magnetic moment comes out at 2.77 μB/f.u. As for the space-group type: C2/m, No. 12. As for the energy above the most stable polymorph in this dataset: 0 meV per atom. The total DFT energy (no corrections) comes out at -7.447 eV per atom.

---

Zr3TlH: relaxed, PBE.

Cell and atoms, written as extended XYZ:
```
20
Lattice="8.025 0.000 0.000 0.000 5.589 0.000 -6.712 0.000 8.554" Properties=species:S:1:pos:R:3 pbc="T T T"
Zr -2.026 0.928 2.893
Zr -5.383 1.866 7.170
Zr -1.754 3.668 4.461
Zr 1.603 4.715 0.184
Zr -2.648 1.059 6.243
Zr 0.708 1.735 1.966
Zr 0.605 3.853 6.588
Zr 3.961 4.529 2.311
Zr -0.290 0.873 8.370
Zr 3.066 1.921 4.093
Zr 6.695 3.722 1.384
Zr 3.339 4.660 5.662
Tl -2.280 3.929 7.646
Tl 1.077 4.454 3.368
Tl 0.236 1.134 5.186
Tl 3.592 1.660 0.909
H 0.482 0.862 0.163
H -2.874 1.932 4.440
H 4.187 3.657 4.115
H 0.830 4.726 8.392
```

The magnetic moment comes out at 0.00 μB/f.u. As for the space-group type: P2_1/c, No. 14. The total DFT energy (no corrections) comes out at -6.389 eV per atom.

---

AlMoIr2: relaxed, PBE.

Cell and atoms, written as extended XYZ:
```
4
Lattice="2.854 0.000 0.000 0.000 2.854 0.000 0.000 0.000 7.065" Properties=species:S:1:pos:R:3 pbc="T T T"
Al 0.000 0.000 0.000
Mo 0.000 0.000 3.533
Ir 1.427 1.427 1.638
Ir 1.427 1.427 5.428
```

The formation enthalpy at 0 K comes out at -0.613 eV per atom. The magnetic moment comes out at 0.00 μB/f.u. As for the space-group type: P4/mmm, No. 123. As for the energy above the most stable polymorph in this dataset: 0 meV per atom. The total DFT energy (no corrections) comes out at -8.687 eV per atom.

---

BeSn2Mo2: relaxed, PBE.

Cell and atoms, written as extended XYZ:
```
5
Lattice="-1.858 1.858 7.220 1.858 -1.858 7.220 1.858 1.858 -7.220" Properties=species:S:1:pos:R:3 pbc="T T T"
Be 0.000 0.000 0.000
Sn 0.000 0.000 5.802
Sn 0.000 0.000 8.639
Mo 1.858 0.000 3.610
Mo 0.000 1.858 3.610
```

The formation enthalpy at 0 K comes out at 0.759 eV per atom. The magnetic moment comes out at 0.00 μB/f.u. As for the space-group type: I4/mmm, No. 139. As for the energy above the most stable polymorph in this dataset: 127 meV per atom. The total DFT energy (no corrections) comes out at -5.919 eV per atom.

---

Ba2SrAsN: relaxed, PBE.

Cell and atoms, written as extended XYZ:
```
10
Lattice="2.218 -8.840 0.000 2.218 8.840 0.000 0.000 0.000 8.415" Properties=species:S:1:pos:R:3 pbc="T T T"
Ba 2.218 6.212 4.258
Ba 2.218 6.212 8.364
Ba 2.218 -6.212 0.050
Ba 2.218 -6.212 4.157
Sr 2.218 0.219 6.311
Sr 2.218 -0.219 2.104
As 2.218 3.429 6.311
As 2.218 -3.429 2.104
N 0.000 0.000 0.000
N 0.000 0.000 4.207
```

The uncorrected formation energy is -0.60 eV per atom. The magnetic moment comes out at 0.00 μB/f.u. As for the space-group type: Cmcm, No. 63. As for the energy above the most stable polymorph in this dataset: 131 meV per atom. The total DFT energy (no corrections) comes out at -4.296 eV per atom.

---

PmYTh: relaxed, PBE.

Cell and atoms, written as extended XYZ:
```
6
Lattice="4.234 0.000 0.000 0.000 4.234 0.000 0.000 0.000 11.124" Properties=species:S:1:pos:R:3 pbc="T T T"
Pm 1.058 1.058 1.018
Pm 3.175 3.175 10.107
Y 1.058 1.058 8.237
Y 3.175 3.175 2.888
Th 1.058 1.058 4.678
Th 3.175 3.175 6.447
```

The formation enthalpy at 0 K comes out at 0.114 eV per atom. The magnetic moment comes out at 0.00 μB/f.u. As for the space-group type: P4/nmm, No. 129. As for the energy above the most stable polymorph in this dataset: 86 meV per atom. The total DFT energy (no corrections) comes out at -6.097 eV per atom.

---

TiGaPbW2: relaxed, PBE.

Cell and atoms, written as extended XYZ:
```
5
Lattice="4.701 0.000 0.000 0.000 4.701 0.000 0.000 0.000 4.939" Properties=species:S:1:pos:R:3 pbc="T T T"
Ti 0.000 0.000 0.000
Ga 0.000 0.000 2.470
Pb 2.350 2.350 2.470
W 0.000 2.350 0.000
W 2.350 0.000 0.000
```

The formation enthalpy at 0 K comes out at 1.511 eV per atom. The magnetic moment comes out at 0.00 μB/f.u. As for the space-group type: P4/mmm, No. 123. As for the energy above the most stable polymorph in this dataset: 0 meV per atom. The total DFT energy (no corrections) comes out at -6.596 eV per atom.

---

TmGa4Cu2: relaxed, PBE.

Cell and atoms, written as extended XYZ:
```
28
Lattice="16.641 0.000 0.000 0.000 4.214 0.000 0.000 0.000 6.657" Properties=species:S:1:pos:R:3 pbc="T T T"
Tm 2.371 1.053 0.149
Tm 5.949 3.160 3.478
Tm 10.692 1.053 3.179
Tm 14.269 3.160 6.508
Ga 0.559 3.160 5.717
Ga 1.091 1.053 3.182
Ga 3.069 3.160 2.194
Ga 3.159 3.160 4.871
Ga 5.162 1.053 1.542
Ga 5.252 1.053 5.523
Ga 7.229 3.160 6.510
Ga 7.761 1.053 2.389
Ga 8.879 3.160 4.269
Ga 9.412 1.053 0.147
Ga 11.389 3.160 1.134
Ga 11.479 3.160 5.116
Ga 13.482 1.053 1.787
Ga 13.572 1.053 4.463
Ga 15.549 3.160 3.476
Ga 16.082 1.053 0.940
Cu 0.607 3.160 1.632
Cu 3.593 1.053 3.560
Cu 4.727 3.160 0.232
Cu 7.713 1.053 4.961
Cu 8.927 3.160 1.696
Cu 11.914 1.053 6.426
Cu 13.047 3.160 3.097
Cu 16.034 1.053 5.025
```

The formation enthalpy at 0 K comes out at -0.344 eV per atom. The magnetic moment comes out at 0.00 μB/f.u. As for the space-group type: Pnma, No. 62. The total DFT energy (no corrections) comes out at -3.883 eV per atom.

---

AgAuN2F: relaxed, PBE.

Cell and atoms, written as extended XYZ:
```
5
Lattice="3.946 0.000 0.000 0.000 3.946 0.000 0.000 0.000 5.470" Properties=species:S:1:pos:R:3 pbc="T T T"
Ag 0.000 0.000 0.000
Au 1.973 1.973 2.735
N 0.000 1.973 2.735
N 1.973 0.000 2.735
F 1.973 1.973 0.000
```

The uncorrected formation energy is 1.25 eV per atom. The magnetic moment comes out at 3.27 μB/f.u. As for the space-group type: P4/mmm, No. 123. As for the energy above the most stable polymorph in this dataset: 0 meV per atom. The total DFT energy (no corrections) comes out at -3.683 eV per atom.

---

BaLi3Se: relaxed, PBE.

Cell and atoms, written as extended XYZ:
```
5
Lattice="5.735 0.000 0.000 0.000 5.735 0.000 0.000 0.000 5.735" Properties=species:S:1:pos:R:3 pbc="T T T"
Ba 0.000 0.000 0.000
Li 0.000 0.000 2.867
Li 0.000 2.867 0.000
Li 2.867 0.000 0.000
Se 2.867 2.867 2.867
```

The uncorrected formation energy is 0.88 eV per atom. The magnetic moment comes out at 2.43 μB/f.u. As for the space-group type: Pm-3m, No. 221. As for the energy above the most stable polymorph in this dataset: 1339 meV per atom. The total DFT energy (no corrections) comes out at -1.345 eV per atom.

---

Ti2NiMoCl: relaxed, PBE.

Cell and atoms, written as extended XYZ:
```
5
Lattice="4.743 0.000 0.000 0.000 4.743 0.000 0.000 0.000 4.613" Properties=species:S:1:pos:R:3 pbc="T T T"
Ti 0.000 2.372 0.000
Ti 2.372 0.000 0.000
Ni 0.000 0.000 2.307
Mo 2.372 2.372 0.000
Cl 2.372 2.372 2.307
```

The uncorrected formation energy is 0.99 eV per atom. The magnetic moment comes out at 0.00 μB/f.u. As for the space-group type: P4/mmm, No. 123. The total DFT energy (no corrections) comes out at -5.856 eV per atom.

---

Be2TlSnBi: relaxed, PBE.

Cell and atoms, written as extended XYZ:
```
5
Lattice="4.814 0.000 0.000 0.000 4.814 0.000 0.000 0.000 6.352" Properties=species:S:1:pos:R:3 pbc="T T T"
Be 0.000 2.407 0.000
Be 2.407 0.000 0.000
Tl 0.000 0.000 3.176
Sn 2.407 2.407 3.176
Bi 2.407 2.407 0.000
```

The formation enthalpy at 0 K comes out at 1.028 eV per atom. The magnetic moment comes out at 0.00 μB/f.u. As for the space-group type: P4/mmm, No. 123. The total DFT energy (no corrections) comes out at -2.513 eV per atom.

---

Number 1: DOS(E_F) 0.580 states/eV/atom. Number 2: DOS(E_F) 0.534 states/eV/atom. Number 3: DOS(E_F) 0.558 states/eV/atom. Number 4: DOS(E_F) 0.614 states/eV/atom. Number 5: DOS(E_F) 0.617 states/eV/atom. Number 6: DOS(E_F) 1.709 states/eV/atom. Number 7: DOS(E_F) 1.125 states/eV/atom. Number 8: DOS(E_F) 0.303 states/eV/atom. Number 9: DOS(E_F) 0.363 states/eV/atom. Number 10: DOS(E_F) 2.215 states/eV/atom. Number 11: DOS(E_F) 1.313 states/eV/atom. Number 12: DOS(E_F) 0.822 states/eV/atom.